(1)
Ac6GaAg2 | PBE | optimized geometry

Lattice parameters (Å, degrees): 9.455 9.455 9.455 110.87 109.51 108.05
Fractional positions:
Ac: 0.056 0.248 0.808
Ac: 0.176 0.265 0.441
Ac: 0.176 0.735 0.911
Ac: 0.328 0.042 0.714
Ac: 0.328 0.614 0.286
Ac: 0.440 0.248 0.192
Ac: 0.560 0.752 0.808
Ac: 0.672 0.386 0.714
Ac: 0.672 0.958 0.286
Ac: 0.824 0.265 0.089
Ac: 0.824 0.735 0.559
Ac: 0.944 0.752 0.192
Ga: 0.000 0.000 0.000
Ga: 0.500 0.500 0.000
Ag: 0.127 0.627 0.500
Ag: 0.357 0.000 0.357
Ag: 0.643 0.000 0.643
Ag: 0.873 0.373 0.500

## Properties
ΔE_f   -0.17 eV/atom
Space group   No. 71
Uncorrected energy   -3.883 eV/atom


(2)
Ta3CoTe | PBE | optimized geometry

Lattice parameters (Å, degrees): 4.650 4.650 4.650 90.00 90.00 90.00
Fractional positions:
Ta: 0.000 0.000 0.500
Ta: 0.000 0.500 0.000
Ta: 0.500 0.000 0.000
Co: 0.000 0.000 0.000
Te: 0.500 0.500 0.500

## Properties
Space group   No. 221
Energy above the most stable polymorph in this dataset   0 meV per atom
Uncorrected energy   -8.466 eV/atom


(3)
Pr4Dy3HoSe8 | PBE | optimized geometry

Lattice parameters (Å, degrees): 8.454 8.454 8.454 58.24 58.24 58.24
Fractional positions:
Pr: 0.000 0.000 0.000
Pr: 0.000 0.500 0.500
Pr: 0.500 0.000 0.500
Pr: 0.500 0.500 0.000
Dy: 0.000 0.000 0.500
Dy: 0.000 0.500 0.000
Dy: 0.500 0.000 0.000
Ho: 0.500 0.500 0.500
Se: 0.244 0.244 0.244
Se: 0.245 0.743 0.743
Se: 0.257 0.257 0.755
Se: 0.257 0.755 0.257
Se: 0.743 0.245 0.743
Se: 0.743 0.743 0.245
Se: 0.755 0.257 0.257
Se: 0.756 0.756 0.756

## Properties
Space group   No. 166
Uncorrected energy   -5.884 eV/atom


(4)
SiOs2Pt | PBE | optimized geometry

Lattice parameters (Å, degrees): 4.777 4.777 4.804 108.37 108.37 33.83
Fractional positions:
Si: 0.000 0.000 0.000
Os: 0.465 0.465 0.549
Os: 0.704 0.704 0.368
Pt: 0.258 0.258 0.892

## Properties
Space group   No. 8
Uncorrected energy   -8.490 eV/atom


(5)
Ti4VGe2 | PBE | optimized geometry

Lattice parameters (Å, degrees): 7.656 7.656 7.656 147.62 147.62 46.44
Fractional positions:
Ti: 0.000 0.500 0.500
Ti: 0.181 0.181 0.000
Ti: 0.500 0.000 0.500
Ti: 0.819 0.819 0.000
V: 0.000 0.000 0.000
Ge: 0.364 0.364 0.000
Ge: 0.636 0.636 0.000

## Properties
ΔE_f   0.26 eV/atom
Space group   No. 139
Energy above the most stable polymorph in this dataset   405 meV per atom
Uncorrected energy   -6.871 eV/atom


(6)
TbHoCdOs | PBE | optimized geometry

Lattice parameters (Å, degrees): 3.446 3.446 7.794 90.00 90.00 90.00
Fractional positions:
Tb: 0.000 0.000 0.000
Ho: 0.000 0.000 0.575
Cd: 0.500 0.500 0.291
Os: 0.500 0.500 0.785

## Properties
ΔE_f   -0.31 eV/atom
Space group   No. 99
Energy above the most stable polymorph in this dataset   0 meV per atom
Uncorrected energy   -5.646 eV/atom